P | # SrFeTe3

A relaxed SrFeTe3 crystal (PBE, Alexandria via LeMat-Bulk).

Calculated values
total magnetization: 3.18 μB/f.u.
SG: Pm-3m, No. 221

```
data_SrFeTe3
_cell_length_a 6.0594
_cell_length_b 6.0594
_cell_length_c 6.0594
_cell_angle_alpha 90.00
_cell_angle_beta 90.00
_cell_angle_gamma 90.00
_space_group_name_H-M_alt 'P 1'
_space_group_IT_number 1
_space_group_name_Hall 'P 1'
loop_
_atom_site_label
_atom_site_type_symbol
_atom_site_fract_x
_atom_site_fract_y
_atom_site_fract_z
Sr1 Sr 0.0000 0.0000 0.0000
Fe1 Fe 0.5000 0.5000 0.5000
Te1 Te 0.0000 0.0000 0.5000
Te2 Te 0.0000 0.5000 0.0000
Te3 Te 0.5000 0.0000 0.0000
```

Q | # SrFeTe3

A relaxed SrFeTe3 crystal (PBE, Alexandria via LeMat-Bulk).

Calculated values
total magnetization: 0.00 μB/f.u.
SG: Pm-3m, No. 221

```
data_SrFeTe3
_cell_length_a 5.2033
_cell_length_b 5.2033
_cell_length_c 5.2033
_cell_angle_alpha 90.00
_cell_angle_beta 90.00
_cell_angle_gamma 90.00
_space_group_name_H-M_alt 'P 1'
_space_group_IT_number 1
_space_group_name_Hall 'P 1'
loop_
_atom_site_label
_atom_site_type_symbol
_atom_site_fract_x
_atom_site_fract_y
_atom_site_fract_z
Sr1 Sr 0.0000 0.0000 0.0000
Fe1 Fe 0.5000 0.5000 0.5000
Te1 Te 0.0000 0.5000 0.5000
Te2 Te 0.5000 0.0000 0.5000
Te3 Te 0.5000 0.5000 0.0000
```

Q: Which of them is the most stable? A: Q.

P | # Sr2TiFe

A relaxed Sr2TiFe crystal (PBE, Alexandria via LeMat-Bulk).

Calculated values
total magnetization: 0.00 μB/f.u.
SG: Fm-3m, No. 225

```
data_Sr2TiFe
_cell_length_a 5.2956
_cell_length_b 5.2956
_cell_length_c 5.2956
_cell_angle_alpha 60.00
_cell_angle_beta 60.00
_cell_angle_gamma 60.00
_space_group_name_H-M_alt 'P 1'
_space_group_IT_number 1
_space_group_name_Hall 'P 1'
loop_
_atom_site_label
_atom_site_type_symbol
_atom_site_fract_x
_atom_site_fract_y
_atom_site_fract_z
Sr1 Sr 0.2500 0.2500 0.2500
Sr2 Sr 0.7500 0.7500 0.7500
Ti1 Ti 0.0000 0.0000 0.0000
Fe1 Fe 0.5000 0.5000 0.5000
```

Q | # Sr2TiFe

A relaxed Sr2TiFe crystal (PBE, Alexandria via LeMat-Bulk).

Calculated values
total magnetization: 0.36 μB/f.u.
SG: I-42d, No. 122

```
data_Sr2TiFe
_cell_length_a 8.5958
_cell_length_b 8.5958
_cell_length_c 8.5958
_cell_angle_alpha 93.51
_cell_angle_beta 93.51
_cell_angle_gamma 151.35
_space_group_name_H-M_alt 'P 1'
_space_group_IT_number 1
_space_group_name_Hall 'P 1'
loop_
_atom_site_label
_atom_site_type_symbol
_atom_site_fract_x
_atom_site_fract_y
_atom_site_fract_z
Sr1 Sr 0.3750 0.1977 0.3227
Sr2 Sr 0.8023 0.1250 0.1773
Sr3 Sr 0.8750 0.0523 0.6773
Sr4 Sr 0.9477 0.6250 0.8227
Ti1 Ti 0.2500 0.7500 0.5000
Ti2 Ti 0.5000 0.5000 0.0000
Fe1 Fe 0.0000 0.0000 0.0000
Fe2 Fe 0.7500 0.2500 0.5000
```

Q: Which of them is the most stable? A: Q.

P | # Sr2Tl2Fe

A relaxed Sr2Tl2Fe crystal (PBE, Alexandria via LeMat-Bulk).

Calculated values
total magnetization: 2.37 μB/f.u.
SG: I4/mmm, No. 139

```
data_Sr2Tl2Fe
_cell_length_a 6.1747
_cell_length_b 6.1747
_cell_length_c 6.1747
_cell_angle_alpha 115.54
_cell_angle_beta 115.54
_cell_angle_gamma 97.91
_space_group_name_H-M_alt 'P 1'
_space_group_IT_number 1
_space_group_name_Hall 'P 1'
loop_
_atom_site_label
_atom_site_type_symbol
_atom_site_fract_x
_atom_site_fract_y
_atom_site_fract_z
Sr1 Sr 0.2500 0.7500 0.5000
Sr2 Sr 0.7500 0.2500 0.5000
Tl1 Tl 0.1750 0.1750 0.0000
Tl2 Tl 0.8250 0.8250 0.0000
Fe1 Fe 0.5000 0.5000 0.0000
```

Q | # Sr2Tl2Fe

A relaxed Sr2Tl2Fe crystal (PBE, Alexandria via LeMat-Bulk).

Calculated values
total magnetization: 0.03 μB/f.u.
SG: P4/mbm, No. 127

```
data_Sr2Tl2Fe
_cell_length_a 7.3830
_cell_length_b 7.3830
_cell_length_c 5.3832
_cell_angle_alpha 90.00
_cell_angle_beta 90.00
_cell_angle_gamma 90.00
_space_group_name_H-M_alt 'P 1'
_space_group_IT_number 1
_space_group_name_Hall 'P 1'
loop_
_atom_site_label
_atom_site_type_symbol
_atom_site_fract_x
_atom_site_fract_y
_atom_site_fract_z
Sr1 Sr 0.1743 0.3257 0.0000
Sr2 Sr 0.3257 0.8257 0.0000
Sr3 Sr 0.6743 0.1743 0.0000
Sr4 Sr 0.8257 0.6743 0.0000
Tl1 Tl 0.1538 0.6538 0.5000
Tl2 Tl 0.3462 0.1538 0.5000
Tl3 Tl 0.6538 0.8462 0.5000
Tl4 Tl 0.8462 0.3462 0.5000
Fe1 Fe 0.0000 0.0000 0.5000
Fe2 Fe 0.5000 0.5000 0.5000
```

Q: Which of them is the most stable? A: Q.

P | # SrTlFe3

A relaxed SrTlFe3 crystal (PBE, Alexandria via LeMat-Bulk).

Calculated values
total magnetization: 8.75 μB/f.u.
SG: Pm-3m, No. 221

```
data_SrTlFe3
_cell_length_a 5.0382
_cell_length_b 5.0382
_cell_length_c 5.0382
_cell_angle_alpha 90.00
_cell_angle_beta 90.00
_cell_angle_gamma 90.00
_space_group_name_H-M_alt 'P 1'
_space_group_IT_number 1
_space_group_name_Hall 'P 1'
loop_
_atom_site_label
_atom_site_type_symbol
_atom_site_fract_x
_atom_site_fract_y
_atom_site_fract_z
Sr1 Sr 0.0000 0.0000 0.0000
Tl1 Tl 0.5000 0.5000 0.5000
Fe1 Fe 0.0000 0.5000 0.5000
Fe2 Fe 0.5000 0.0000 0.5000
Fe3 Fe 0.5000 0.5000 0.0000
```

Q | # SrTlFe3

A relaxed SrTlFe3 crystal (PBE, Alexandria via LeMat-Bulk).

Calculated values
total magnetization: 7.74 μB/f.u.
SG: Pm-3m, No. 221

```
data_SrTlFe3
_cell_length_a 4.9244
_cell_length_b 4.9244
_cell_length_c 4.9244
_cell_angle_alpha 90.00
_cell_angle_beta 90.00
_cell_angle_gamma 90.00
_space_group_name_H-M_alt 'P 1'
_space_group_IT_number 1
_space_group_name_Hall 'P 1'
loop_
_atom_site_label
_atom_site_type_symbol
_atom_site_fract_x
_atom_site_fract_y
_atom_site_fract_z
Sr1 Sr 0.0000 0.0000 0.0000
Tl1 Tl 0.5000 0.5000 0.5000
Fe1 Fe 0.0000 0.0000 0.5000
Fe2 Fe 0.0000 0.5000 0.0000
Fe3 Fe 0.5000 0.0000 0.0000
```

Q: Which of them is the most stable? A: P.

P | # SrTl3Fe

A relaxed SrTl3Fe crystal (PBE, Alexandria via LeMat-Bulk).

Calculated values
total magnetization: 2.15 μB/f.u.
SG: Pm-3m, No. 221

```
data_SrTl3Fe
_cell_length_a 5.2129
_cell_length_b 5.2129
_cell_length_c 5.2129
_cell_angle_alpha 90.00
_cell_angle_beta 90.00
_cell_angle_gamma 90.00
_space_group_name_H-M_alt 'P 1'
_space_group_IT_number 1
_space_group_name_Hall 'P 1'
loop_
_atom_site_label
_atom_site_type_symbol
_atom_site_fract_x
_atom_site_fract_y
_atom_site_fract_z
Sr1 Sr 0.0000 0.0000 0.0000
Tl1 Tl 0.0000 0.5000 0.5000
Tl2 Tl 0.5000 0.0000 0.5000
Tl3 Tl 0.5000 0.5000 0.0000
Fe1 Fe 0.5000 0.5000 0.5000
```

Q | # SrTl3Fe

A relaxed SrTl3Fe crystal (PBE, Alexandria via LeMat-Bulk).

Calculated values
total magnetization: 3.27 μB/f.u.
SG: Pm-3m, No. 221

```
data_SrTl3Fe
_cell_length_a 6.1881
_cell_length_b 6.1881
_cell_length_c 6.1881
_cell_angle_alpha 90.00
_cell_angle_beta 90.00
_cell_angle_gamma 90.00
_space_group_name_H-M_alt 'P 1'
_space_group_IT_number 1
_space_group_name_Hall 'P 1'
loop_
_atom_site_label
_atom_site_type_symbol
_atom_site_fract_x
_atom_site_fract_y
_atom_site_fract_z
Sr1 Sr 0.0000 0.0000 0.0000
Tl1 Tl 0.0000 0.0000 0.5000
Tl2 Tl 0.0000 0.5000 0.0000
Tl3 Tl 0.5000 0.0000 0.0000
Fe1 Fe 0.5000 0.5000 0.5000
```

Q: Which of them is the most stable? A: P.

P | # Sr2V2Fe

A relaxed Sr2V2Fe crystal (PBE, Alexandria via LeMat-Bulk).

Calculated values
total magnetization: 2.74 μB/f.u.
SG: P4/mbm, No. 127

```
data_Sr2V2Fe
_cell_length_a 9.2311
_cell_length_b 9.2311
_cell_length_c 3.2842
_cell_angle_alpha 90.00
_cell_angle_beta 90.00
_cell_angle_gamma 90.00
_space_group_name_H-M_alt 'P 1'
_space_group_IT_number 1
_space_group_name_Hall 'P 1'
loop_
_atom_site_label
_atom_site_type_symbol
_atom_site_fract_x
_atom_site_fract_y
_atom_site_fract_z
Sr1 Sr 0.2120 0.2880 0.0000
Sr2 Sr 0.2880 0.7880 0.0000
Sr3 Sr 0.7120 0.2120 0.0000
Sr4 Sr 0.7880 0.7120 0.0000
V1 V 0.0704 0.5704 0.5000
V2 V 0.4296 0.0704 0.5000
V3 V 0.5704 0.9296 0.5000
V4 V 0.9296 0.4296 0.5000
Fe1 Fe 0.0000 0.0000 0.0000
Fe2 Fe 0.5000 0.5000 0.0000
```

Q | # Sr2V2Fe

A relaxed Sr2V2Fe crystal (PBE, Alexandria via LeMat-Bulk).

Calculated values
total magnetization: 1.86 μB/f.u.
SG: I4/mmm, No. 139

```
data_Sr2V2Fe
_cell_length_a 10.8186
_cell_length_b 10.8186
_cell_length_c 10.8186
_cell_angle_alpha 161.99
_cell_angle_beta 161.99
_cell_angle_gamma 25.58
_space_group_name_H-M_alt 'P 1'
_space_group_IT_number 1
_space_group_name_Hall 'P 1'
loop_
_atom_site_label
_atom_site_type_symbol
_atom_site_fract_x
_atom_site_fract_y
_atom_site_fract_z
Sr1 Sr 0.1019 0.1019 0.0000
Sr2 Sr 0.8981 0.8981 0.0000
V1 V 0.2500 0.7500 0.5000
V2 V 0.7500 0.2500 0.5000
Fe1 Fe 0.5000 0.5000 0.0000
```

Q: Which of them is the most stable? A: Q.